Zn2HgCl | PBE | optimized geometry

Results
Energy in eV per cell: -5.07
Space-group type: No. 65
Energy above the lowest structure with this stoichiometry in eV/atom: 0.125
ΔE_f (raw) in meV/atom: -93.6
Density in g cm⁻³: 6.7
Volume in Å³/f.u.: 90.6
DOS(E_F) in states/eV per atom: 0.1929

abc: 3.6296 3.6296 8.0842
angles: 90.00 90.00 121.75
Last column: nearest neighbours and their distance in Å.
Element x y z (fractional)
Zn: 0.0000 0.0000 0.4952  2 Cl 2.66, 2 Hg 2.71
Hg: 0.5000 0.5000 0.7500  4 Zn 2.71
Zn: 0.0000 0.0000 0.0048  2 Cl 2.66, 2 Hg 2.71
Cl: 0.5000 0.5000 0.2500  4 Zn 2.66